1.
# RbSeIN2

A relaxed RbSeIN2 crystal (PBE, Alexandria).

a b c (Å): 4.4815 4.4815 6.3135
angles (deg): 90.00 90.00 90.00
Closest atoms and distances in Å follow each position.
Space group P4/mmm (No. 123)
Inequivalent atoms, fractional coordinates:
Rb  0.0000  0.0000  0.0000  4 I 3.17
Se  0.5000  0.5000  0.5000  4 N 2.24
I  0.5000  0.5000  0.0000  2 Se 3.16, 4 Rb 3.17
N  0.0000  0.5000  0.5000  2 Se 2.24

Total magnetization = 0.54 μB per atom

---

2.
# RbSeIN2

A relaxed RbSeIN2 crystal (PBE, Alexandria).

a b c (Å): 5.2338 5.2338 6.8538
angles (deg): 90.00 90.00 90.00
Closest atoms and distances in Å follow each position.
Space group P4/mmm (No. 123)
Inequivalent atoms, fractional coordinates:
Rb  0.0000  0.0000  0.0000  4 N 2.62
Se  0.0000  0.0000  0.5000  2 Rb 3.43, 4 I 3.70
I  0.5000  0.5000  0.5000  4 Se 3.70
N  0.0000  0.5000  0.0000  2 Rb 2.62

Total magnetization = 1.16 μB per atom

---

Stability, descending: 1, 2

---

1.
# RbSiI2N

A relaxed RbSiI2N crystal (PBE, Alexandria).

a b c (Å): 6.7297 6.7297 5.2691
angles (deg): 90.00 90.00 90.00
Closest atoms and distances in Å follow each position.
Space group P4/mmm (No. 123)
Inequivalent atoms, fractional coordinates:
Rb  0.0000  0.0000  0.0000  2 N 2.63
Si  0.5000  0.5000  0.5000  8 I 4.27, 4 N 4.76
I  0.0000  0.5000  0.0000  2 Rb 3.36
N  0.0000  0.0000  0.5000  2 Rb 2.63

Total magnetization = 0.72 μB per atom

---

2.
# RbSiI2N

A relaxed RbSiI2N crystal (PBE, Alexandria).

a b c (Å): 6.4973 6.4973 3.4033
angles (deg): 90.00 90.00 90.00
Closest atoms and distances in Å follow each position.
Space group P4/mmm (No. 123)
Inequivalent atoms, fractional coordinates:
Rb  0.0000  0.0000  0.0000  2 Rb 3.40, 8 I 3.67
Si  0.5000  0.5000  0.5000  2 N 1.70
I  0.0000  0.5000  0.5000  2 Si 3.25, 2 I 3.40
N  0.5000  0.5000  0.0000  2 Si 1.70

Total magnetization = 0.00 μB per atom

---

Stability, descending: 2, 1

---

1.
# RbSrI2N

A relaxed RbSrI2N crystal (PBE, Alexandria).

a b c (Å): 6.5674 6.5674 5.1573
angles (deg): 90.00 90.00 90.00
Closest atoms and distances in Å follow each position.
Space group P4/mmm (No. 123)
Inequivalent atoms, fractional coordinates:
Rb  0.0000  0.0000  0.0000  2 N 2.58
Sr  0.5000  0.5000  0.5000  8 I 4.18, 4 N 4.64
I  0.0000  0.5000  0.0000  2 Rb 3.28
N  0.0000  0.0000  0.5000  2 Rb 2.58

Total magnetization = 0.43 μB per atom

---

2.
# RbSrI2N

A relaxed RbSrI2N crystal (PBE, Alexandria).

a b c (Å): 6.5857 6.5857 5.1574
angles (deg): 90.00 90.00 90.00
Closest atoms and distances in Å follow each position.
Space group P4/mmm (No. 123)
Inequivalent atoms, fractional coordinates:
Rb  0.0000  0.0000  0.0000  8 I 4.18, 4 N 4.66
Sr  0.5000  0.5000  0.5000  2 N 2.58
I  0.0000  0.5000  0.5000  2 Sr 3.29
N  0.5000  0.5000  0.0000  2 Sr 2.58

Total magnetization = 0.40 μB per atom

---

Stability, descending: 2, 1

---

1.
# RbTeIN2

A relaxed RbTeIN2 crystal (PBE, Alexandria).

a b c (Å): 5.2095 5.2095 7.2829
angles (deg): 90.00 90.00 90.00
Closest atoms and distances in Å follow each position.
Space group P4/mmm (No. 123)
Inequivalent atoms, fractional coordinates:
Rb  0.0000  0.0000  0.0000  4 N 2.60
Te  0.5000  0.5000  0.5000  4 I 3.68
I  0.0000  0.0000  0.5000  2 Rb 3.64, 4 Te 3.68
N  0.0000  0.5000  0.0000  2 Rb 2.60

Total magnetization = 1.14 μB per atom

---

2.
# RbTeIN2

A relaxed RbTeIN2 crystal (PBE, Alexandria).

a b c (Å): 4.8422 4.8422 6.0670
angles (deg): 90.00 90.00 90.00
Closest atoms and distances in Å follow each position.
Space group P4/mmm (No. 123)
Inequivalent atoms, fractional coordinates:
Rb  0.0000  0.0000  0.0000  4 Te 3.42
Te  0.5000  0.5000  0.0000  2 I 3.03
I  0.5000  0.5000  0.5000  4 N 2.42
N  0.0000  0.5000  0.5000  2 I 2.42

Total magnetization = 0.66 μB per atom

---

3.
# RbTeIN2

A relaxed RbTeIN2 crystal (PBE, Alexandria).

a b c (Å): 4.5001 4.5001 6.7002
angles (deg): 90.00 90.00 90.00
Closest atoms and distances in Å follow each position.
Space group P4/mmm (No. 123)
Inequivalent atoms, fractional coordinates:
Rb  0.0000  0.0000  0.0000  4 I 3.18
Te  0.5000  0.5000  0.5000  4 N 2.25
I  0.5000  0.5000  0.0000  4 Rb 3.18, 2 Te 3.35
N  0.0000  0.5000  0.5000  2 Te 2.25

Total magnetization = 0.38 μB per atom

---

Stability, descending: 3, 2, 1

---

1.
# RbVIN2

A relaxed RbVIN2 crystal (PBE, Alexandria).

a b c (Å): 5.1499 5.1499 7.4597
angles (deg): 90.00 90.00 90.00
Closest atoms and distances in Å follow each position.
Space group P4/mmm (No. 123)
Inequivalent atoms, fractional coordinates:
Rb  0.0000  0.0000  0.0000  4 N 2.57
V  0.5000  0.5000  0.5000  4 I 3.64
I  0.0000  0.0000  0.5000  4 V 3.64, 2 Rb 3.73
N  0.0000  0.5000  0.0000  2 Rb 2.57

Total magnetization = 1.81 μB per atom

---

2.
# RbVIN2

A relaxed RbVIN2 crystal (PBE, Alexandria).

a b c (Å): 4.2447 4.2447 5.6567
angles (deg): 90.00 90.00 90.00
Closest atoms and distances in Å follow each position.
Space group P4/mmm (No. 123)
Inequivalent atoms, fractional coordinates:
Rb  0.0000  0.0000  0.0000  4 I 3.00
V  0.5000  0.5000  0.5000  4 N 2.12
I  0.5000  0.5000  0.0000  2 V 2.83, 4 Rb 3.00
N  0.0000  0.5000  0.5000  2 V 2.12

Total magnetization = 0.20 μB per atom

---

Stability, descending: 2, 1

---

1.
# RbWI2N

A relaxed RbWI2N crystal (PBE, Alexandria).

a b c (Å): 5.9548 5.9548 3.9194
angles (deg): 90.00 90.00 90.00
Closest atoms and distances in Å follow each position.
Space group P4/mmm (No. 123)
Inequivalent atoms, fractional coordinates:
Rb  0.0000  0.0000  0.0000  8 I 3.56, 2 Rb 3.92
W  0.5000  0.5000  0.5000  2 N 1.96
I  0.0000  0.5000  0.5000  2 W 2.98
N  0.5000  0.5000  0.0000  2 W 1.96

Total magnetization = 0.23 μB per atom

---

2.
# RbWI2N

A relaxed RbWI2N crystal (PBE, Alexandria).

a b c (Å): 6.6573 6.6573 5.2411
angles (deg): 90.00 90.00 90.00
Closest atoms and distances in Å follow each position.
Space group P4/mmm (No. 123)
Inequivalent atoms, fractional coordinates:
Rb  0.0000  0.0000  0.0000  2 N 2.62
W  0.5000  0.5000  0.5000  8 I 4.24, 4 N 4.71
I  0.0000  0.5000  0.0000  2 Rb 3.33
N  0.0000  0.0000  0.5000  2 Rb 2.62

Total magnetization = 0.40 μB per atom

---

Stability, descending: 1, 2

---

1.
# RbYIN2

A relaxed RbYIN2 crystal (PBE, Alexandria).

a b c (Å): 4.6339 4.6339 6.0319
angles (deg): 90.00 90.00 90.00
Closest atoms and distances in Å follow each position.
Space group P4/mmm (No. 123)
Inequivalent atoms, fractional coordinates:
Rb  0.0000  0.0000  0.0000  4 N 2.32
Y  0.5000  0.5000  0.5000  4 I 3.28
I  0.0000  0.0000  0.5000  2 Rb 3.02, 4 Y 3.28
N  0.0000  0.5000  0.0000  2 Rb 2.32

Total magnetization = 0.24 μB per atom

---

2.
# RbYIN2

A relaxed RbYIN2 crystal (PBE, Alexandria).

a b c (Å): 4.7766 4.7766 6.2604
angles (deg): 90.00 90.00 90.00
Closest atoms and distances in Å follow each position.
Space group P4/mmm (No. 123)
Inequivalent atoms, fractional coordinates:
Rb  0.0000  0.0000  0.0000  4 I 3.38
Y  0.5000  0.5000  0.5000  4 N 2.39
I  0.5000  0.5000  0.0000  2 Y 3.13, 4 Rb 3.38
N  0.0000  0.5000  0.5000  2 Y 2.39

Total magnetization = 0.60 μB per atom

---

Stability, descending: 2, 1

---

1.
# RbZnIN2

A relaxed RbZnIN2 crystal (PBE, Alexandria).

a b c (Å): 5.6702 5.6702 7.1970
angles (deg): 90.00 90.00 90.00
Closest atoms and distances in Å follow each position.
Space group P4/mmm (No. 123)
Inequivalent atoms, fractional coordinates:
Rb  0.0000  0.0000  0.0000  4 N 2.84
Zn  0.5000  0.5000  0.5000  4 I 4.01
I  0.0000  0.0000  0.5000  2 Rb 3.60, 4 Zn 4.01
N  0.0000  0.5000  0.0000  2 Rb 2.84

Total magnetization = 1.10 μB per atom

---

2.
# RbZnIN2

A relaxed RbZnIN2 crystal (PBE, Alexandria).

a b c (Å): 4.5978 4.5978 5.9132
angles (deg): 90.00 90.00 90.00
Closest atoms and distances in Å follow each position.
Space group P4/mmm (No. 123)
Inequivalent atoms, fractional coordinates:
Rb  0.0000  0.0000  0.0000  4 I 3.25
Zn  0.5000  0.5000  0.5000  4 N 2.30
I  0.5000  0.5000  0.0000  2 Zn 2.96, 4 Rb 3.25
N  0.0000  0.5000  0.5000  2 Zn 2.30

Total magnetization = 0.80 μB per atom

---

Stability, descending: 2, 1

---

1.
# RbZnI2N

A relaxed RbZnI2N crystal (PBE, Alexandria).

a b c (Å): 6.9786 6.9786 5.8939
angles (deg): 90.00 90.00 90.00
Closest atoms and distances in Å follow each position.
Space group P4/mmm (No. 123)
Inequivalent atoms, fractional coordinates:
Rb  0.0000  0.0000  0.0000  2 N 2.95
Zn  0.5000  0.5000  0.5000  8 I 4.57, 4 N 4.93
I  0.0000  0.5000  0.0000  2 Rb 3.49
N  0.0000  0.0000  0.5000  2 Rb 2.95

Total magnetization = 0.81 μB per atom

---

2.
# RbZnI2N

A relaxed RbZnI2N crystal (PBE, Alexandria).

a b c (Å): 6.2027 6.2027 3.9829
angles (deg): 90.00 90.00 90.00
Closest atoms and distances in Å follow each position.
Space group P4/mmm (No. 123)
Inequivalent atoms, fractional coordinates:
Rb  0.0000  0.0000  0.0000  8 I 3.69, 2 Rb 3.98
Zn  0.5000  0.5000  0.5000  2 N 1.99
I  0.0000  0.5000  0.5000  2 Zn 3.10
N  0.5000  0.5000  0.0000  2 Zn 1.99

Total magnetization = 0.40 μB per atom

---

Stability, descending: 2, 1

---

1.
# RbZrIN2

A relaxed RbZrIN2 crystal (PBE, Alexandria).

a b c (Å): 4.4558 4.4558 6.0799
angles (deg): 90.00 90.00 90.00
Closest atoms and distances in Å follow each position.
Space group P4/mmm (No. 123)
Inequivalent atoms, fractional coordinates:
Rb  0.0000  0.0000  0.0000  4 I 3.15
Zr  0.5000  0.5000  0.5000  4 N 2.23
I  0.5000  0.5000  0.0000  2 Zr 3.04, 4 Rb 3.15
N  0.0000  0.5000  0.5000  2 Zr 2.23

Total magnetization = 0.28 μB per atom

---

2.
# RbZrIN2

A relaxed RbZrIN2 crystal (PBE, Alexandria).

a b c (Å): 4.4861 4.4861 5.9579
angles (deg): 90.00 90.00 90.00
Closest atoms and distances in Å follow each position.
Space group P4/mmm (No. 123)
Inequivalent atoms, fractional coordinates:
Rb  0.0000  0.0000  0.0000  4 N 2.24
Zr  0.5000  0.5000  0.5000  4 I 3.17
I  0.0000  0.0000  0.5000  2 Rb 2.98, 4 Zr 3.17
N  0.0000  0.5000  0.0000  2 Rb 2.24

Total magnetization = 0.24 μB per atom

---

Stability, descending: 1, 2

---

1.
# Re2IN

A relaxed Re2IN crystal (PBE, Alexandria).

a b c (Å): 5.0588 5.0588 11.2209
angles (deg): 90.00 90.00 90.00
Closest atoms and distances in Å follow each position.
Space group I-42d (No. 122)
Inequivalent atoms, fractional coordinates:
Re  0.1246  0.2500  0.1250  2 N 1.99
I  0.0000  0.0000  0.5000  4 Re 2.68
N  0.0000  0.0000  0.0000  4 Re 1.99

Total magnetization = 0.00 μB per atom

---

2.
# Re2IN

A relaxed Re2IN crystal (PBE, Alexandria).

a b c (Å): 6.1492 6.1492 6.1492
angles (deg): 90.00 90.00 90.00
Closest atoms and distances in Å follow each position.
Space group Fm-3m (No. 225)
Inequivalent atoms, fractional coordinates:
Re  0.2500  0.2500  0.2500  4 I 2.66, 4 N 2.66
I  0.0000  0.0000  0.0000  8 Re 2.66
N  0.0000  0.0000  0.5000  8 Re 2.66

Total magnetization = 0.00 μB per atom

---

Stability, descending: 1, 2

---

1.
# ReRhI2N

A relaxed ReRhI2N crystal (PBE, Alexandria).

a b c (Å): 5.6600 5.6600 3.6641
angles (deg): 90.00 90.00 90.00
Closest atoms and distances in Å follow each position.
Space group P4/mmm (No. 123)
Inequivalent atoms, fractional coordinates:
Re  0.0000  0.0000  0.0000  8 I 3.37, 2 Re 3.66
Rh  0.5000  0.5000  0.5000  2 N 1.83
I  0.0000  0.5000  0.5000  2 Rh 2.83
N  0.5000  0.5000  0.0000  2 Rh 1.83

Total magnetization = 0.86 μB per atom

---

2.
# ReRhI2N

A relaxed ReRhI2N crystal (PBE, Alexandria).

a b c (Å): 5.3009 5.3009 4.7713
angles (deg): 90.00 90.00 90.00
Closest atoms and distances in Å follow each position.
Space group P4/mmm (No. 123)
Inequivalent atoms, fractional coordinates:
Re  0.0000  0.0000  0.0000  2 Rh 2.39, 4 I 2.65
Rh  0.0000  0.0000  0.5000  2 Re 2.39
I  0.0000  0.5000  0.0000  2 Re 2.65
N  0.5000  0.5000  0.5000  8 I 3.57, 4 Rh 3.75

Total magnetization = 0.00 μB per atom

---

Stability, descending: 1, 2

---

1.
# ReRuI2N

A relaxed ReRuI2N crystal (PBE, Alexandria).

a b c (Å): 5.5556 5.5556 3.6762
angles (deg): 90.00 90.00 90.00
Closest atoms and distances in Å follow each position.
Space group P4/mmm (No. 123)
Inequivalent atoms, fractional coordinates:
Re  0.0000  0.0000  0.0000  8 I 3.33, 2 Re 3.68
Ru  0.5000  0.5000  0.5000  2 N 1.84
I  0.0000  0.5000  0.5000  2 Ru 2.78
N  0.5000  0.5000  0.0000  2 Ru 1.84

Total magnetization = 0.82 μB per atom

---

2.
# ReRuI2N

A relaxed ReRuI2N crystal (PBE, Alexandria).

a b c (Å): 5.5498 5.5498 3.7418
angles (deg): 90.00 90.00 90.00
Closest atoms and distances in Å follow each position.
Space group P4/mmm (No. 123)
Inequivalent atoms, fractional coordinates:
Re  0.0000  0.0000  0.0000  2 N 1.87
Ru  0.5000  0.5000  0.5000  8 I 3.35, 2 Ru 3.74
I  0.0000  0.5000  0.0000  2 Re 2.77
N  0.0000  0.0000  0.5000  2 Re 1.87

Total magnetization = 0.58 μB per atom

---

Stability, descending: 2, 1

---

1.
# ReRuIN2

A relaxed ReRuIN2 crystal (PBE, Alexandria).

a b c (Å): 3.8529 3.8529 5.9666
angles (deg): 90.00 90.00 90.00
Closest atoms and distances in Å follow each position.
Space group P4/mmm (No. 123)
Inequivalent atoms, fractional coordinates:
Re  0.0000  0.0000  0.0000  4 I 2.72
Ru  0.5000  0.5000  0.5000  4 N 1.93
I  0.5000  0.5000  0.0000  4 Re 2.72, 2 Ru 2.98
N  0.0000  0.5000  0.5000  2 Ru 1.93

Total magnetization = 0.74 μB per atom

---

2.
# ReRuIN2

A relaxed ReRuIN2 crystal (PBE, Alexandria).

a b c (Å): 3.8387 3.8387 5.9684
angles (deg): 90.00 90.00 90.00
Closest atoms and distances in Å follow each position.
Space group P4/mmm (No. 123)
Inequivalent atoms, fractional coordinates:
Re  0.0000  0.0000  0.0000  4 N 1.92
Ru  0.5000  0.5000  0.5000  4 I 2.71
I  0.0000  0.0000  0.5000  4 Ru 2.71, 2 Re 2.98
N  0.0000  0.5000  0.0000  2 Re 1.92

Total magnetization = 0.31 μB per atom

---

Stability, descending: 2, 1